VASP calculation (GGA+U) on an optimized crystal structure of Li3NbNi3O8.

Geometry as POSCAR:
```
Li3NbNi3O8
1.0
-1.6722 0.1998 -5.6168
-2.3321 -4.1568 3.6074
-1.6230 5.6012 0.6824
Li Nb Ni O
3 1 3 8
direct
0.5000 0.0000 0.5000 Li
0.5000 0.5000 0.5000 Li
0.0000 0.5000 0.5000 Li
0.0000 0.0000 0.0000 Nb
0.5000 0.0000 0.0000 Ni
0.0000 0.5000 0.0000 Ni
0.5000 0.5000 0.0000 Ni
0.2317 0.4634 0.2321 O
0.7683 0.5366 0.7679 O
0.7191 0.4381 0.2071 O
0.2809 0.5619 0.7929 O
0.2629 0.9965 0.2243 O
0.7336 0.9965 0.2243 O
0.2664 0.0035 0.7757 O
0.7371 0.0035 0.7757 O
```

The calculation puts the total DFT energy (no corrections) at -5.807 eV per atom. As for the symmetry: C2/m, No. 12.